The following is a DFT calculation (PBE) of crystalline Cd4SnHg8 at its relaxed geometry.

Calculated volume ... 334.1 Å³/cell
SG ... No. 8
ΔE_f ... 3 kJ per mole of atoms

Cell lengths 3.631, 5.976, 17.832 Å; angles 65.08, 84.16, 72.31 degrees
Fractional coordinates of all 13 atoms:
Hg 0.148 0.303 0.401
Hg 0.826 0.302 0.045
Hg 0.281 0.762 0.675
Hg 0.884 0.700 0.533
Cd 0.420 0.781 0.380
Cd 0.142 0.599 0.116
Cd 0.892 0.396 0.821
Hg 0.749 0.242 0.260
Cd 0.613 0.221 0.554
Hg 0.561 0.148 0.731
Hg 0.203 0.708 0.885
Sn 0.518 0.994 0.969
Hg 0.467 0.865 0.200